Below is a relaxed BC crystal, with properties calculated at the GGA-PBE level.

a = 6.597 Å, b = 6.597 Å, c = 5.117 Å
α = 101.78°, β = 101.78°, γ = 21.58°
Element x y z (fractional)
B (0.597, 0.597, 0.546)
B (0.319, 0.319, 0.162)
B (0.012, 0.012, 0.987)
B (0.325, 0.325, 0.666)
B (0.917, 0.917, 0.188)
B (0.998, 0.998, 0.534)
C (0.673, 0.673, 0.845)
C (0.911, 0.911, 0.714)
C (0.240, 0.240, 0.368)
C (0.670, 0.670, 0.327)
C (0.600, 0.600, 0.044)
C (0.239, 0.239, 0.868)

Properties
The energy is -7.5396 eV/atom. The calculated formation energy comes out at 0.41 eV/atom. The total magnetization comes out at 0.00 μB/cell. Its symmetry is Cm.

=====

Below is a relaxed BC crystal, with properties calculated at the GGA-PBE level.

a = 2.702 Å, b = 2.702 Å, c = 15.985 Å
α = 90.00°, β = 90.00°, γ = 120.00°
Element x y z (fractional)
C (0.000, 0.000, 0.316)
C (0.667, 0.333, 0.199)
C (0.667, 0.333, 0.717)
C (0.333, 0.667, 0.572)
C (0.667, 0.333, 0.813)
C (0.333, 0.667, 0.056)
B (0.333, 0.667, 0.161)
B (0.333, 0.667, 0.674)
B (0.000, 0.000, 0.826)
B (0.000, 0.000, 0.048)
B (0.000, 0.000, 0.562)
B (0.667, 0.333, 0.306)

Properties
The energy is -7.6123 eV/atom. The calculated formation energy comes out at 0.34 eV/atom. The total magnetization comes out at 0.00 μB/cell. Its symmetry is P3m1.

=====

Below is a relaxed BC crystal, with properties calculated at the GGA-PBE level.

a = 4.683 Å, b = 4.845 Å, c = 2.579 Å
α = 90.00°, β = 90.00°, γ = 109.99°
Element x y z (fractional)
B (0.518, 0.473, 0.000)
B (0.415, 0.672, 0.500)
B (0.011, 0.990, 0.000)
B (0.931, 0.472, 0.500)
C (0.499, 0.015, 0.500)
C (0.377, 0.121, 0.000)
C (0.898, 0.633, 0.000)
C (0.852, 0.123, 0.500)

Properties
The energy is -7.5380 eV/atom. The calculated formation energy comes out at 0.41 eV/atom. The total magnetization comes out at 0.00 μB/cell. Its symmetry is Pm.

=====

Below is a relaxed BC crystal, with properties calculated at the GGA-PBE level.

a = 2.600 Å, b = 4.743 Å, c = 6.650 Å
α = 96.17°, β = 90.00°, γ = 90.00°
Element x y z (fractional)
B (0.500, 0.802, 0.364)
B (0.000, 0.377, 0.282)
B (0.000, 0.033, 0.287)
B (0.000, 0.297, 0.583)
B (0.500, 0.505, 0.993)
B (0.000, 0.022, 0.003)
C (0.000, 0.654, 0.671)
C (0.500, 0.520, 0.231)
C (0.500, 0.174, 0.901)
C (0.500, 0.808, 0.602)
C (0.000, 0.683, 0.901)
C (0.500, 0.125, 0.682)

Properties
The energy is -7.5315 eV/atom. The calculated formation energy comes out at 0.42 eV/atom. The total magnetization comes out at 0.00 μB/cell. Its symmetry is Pm.

=====

Below is a relaxed B7C5 crystal, with properties calculated at the GGA-PBE level.

a = 8.353 Å, b = 8.416 Å, c = 8.416 Å
α = 161.40°, β = 147.45°, γ = 37.78°
Element x y z (fractional)
C (0.006, 0.442, 0.564)
C (0.394, 0.187, 0.207)
C (0.498, 0.934, 0.565)
C (0.899, 0.685, 0.214)
C (0.411, 0.834, 0.577)
B (0.028, 0.785, 0.243)
B (0.916, 0.345, 0.572)
B (0.221, 0.675, 0.546)
B (0.459, 0.288, 0.171)
B (0.846, 0.948, 0.898)
B (0.348, 0.446, 0.902)
B (0.724, 0.181, 0.543)

Properties
The energy is -7.5091 eV/atom. The calculated formation energy comes out at 0.23 eV/atom. The total magnetization comes out at 0.00 μB/cell. Its symmetry is Cm.

=====

Below is a relaxed BC crystal, with properties calculated at the GGA-PBE level.

a = 2.573 Å, b = 3.886 Å, c = 8.225 Å
α = 85.96°, β = 90.00°, γ = 90.00°
Element x y z (fractional)
C (0.500, 0.766, 0.355)
C (0.500, 0.534, 0.512)
C (0.500, 0.755, 0.670)
C (0.000, 0.985, 0.667)
C (0.500, 0.471, 0.818)
C (0.000, 0.239, 0.815)
B (0.500, 0.540, 0.204)
B (0.500, 0.669, 0.980)
B (0.000, 0.305, 0.541)
B (0.000, 0.002, 0.990)
B (0.000, 0.961, 0.302)
B (0.000, 0.271, 0.145)

Properties
The energy is -7.5032 eV/atom. The calculated formation energy comes out at 0.45 eV/atom. The total magnetization comes out at 0.00 μB/cell. Its symmetry is Pm.

=====

Below is a relaxed BC crystal, with properties calculated at the GGA-PBE level.

a = 4.423 Å, b = 4.423 Å, c = 6.483 Å
α = 106.68°, β = 106.68°, γ = 32.39°
Element x y z (fractional)
B (0.400, 0.400, 0.883)
B (0.187, 0.187, 0.767)
B (0.380, 0.380, 0.607)
B (0.041, 0.041, 0.035)
B (0.773, 0.773, 0.416)
C (0.007, 0.007, 0.268)
C (0.578, 0.578, 0.396)
C (0.579, 0.579, 0.636)
C (0.811, 0.811, 0.187)
C (0.244, 0.244, 0.054)

Properties
The energy is -7.5648 eV/atom. The calculated formation energy comes out at 0.39 eV/atom. The total magnetization comes out at 0.00 μB/cell. Its symmetry is Cm.

=====

Below is a relaxed B3C7 crystal, with properties calculated at the GGA-PBE level.

a = 10.296 Å, b = 10.296 Å, c = 10.296 Å
α = 166.12°, β = 166.12°, γ = 19.68°
Element x y z (fractional)
C (0.090, 0.090, 0.000)
C (0.544, 0.044, 0.500)
C (0.500, 0.500, 0.000)
C (0.368, 0.868, 0.500)
C (0.956, 0.456, 0.500)
C (0.910, 0.910, 0.000)
C (0.132, 0.632, 0.500)
B (0.686, 0.686, 0.000)
B (0.750, 0.250, 0.500)
B (0.314, 0.314, 0.000)

Properties
The energy is -8.1975 eV/atom. The calculated formation energy comes out at 0.26 eV/atom. The total magnetization comes out at 0.00 μB/cell. Its symmetry is I-4m2.

=====

Below is a relaxed BC crystal, with properties calculated at the GGA-PBE level.

a = 2.575 Å, b = 2.575 Å, c = 13.978 Å
α = 90.00°, β = 90.00°, γ = 120.00°
Element x y z (fractional)
C (0.667, 0.333, 0.850)
C (0.667, 0.333, 0.207)
C (0.000, 0.000, 0.014)
C (0.000, 0.000, 0.355)
C (0.333, 0.667, 0.042)
C (0.667, 0.333, 0.316)
B (0.333, 0.667, 0.164)
B (0.000, 0.000, 0.888)
B (0.333, 0.667, 0.663)
B (0.667, 0.333, 0.740)
B (0.333, 0.667, 0.543)
B (0.000, 0.000, 0.468)

Properties
The energy is -7.5437 eV/atom. The calculated formation energy comes out at 0.41 eV/atom. The total magnetization comes out at 0.00 μB/cell. Its symmetry is P3m1.

=====

Below is a relaxed B7C5 crystal, with properties calculated at the GGA-PBE level.

a = 4.474 Å, b = 4.474 Å, c = 8.936 Å
α = 120.62°, β = 120.62°, γ = 31.62°
Element x y z (fractional)
C (0.477, 0.477, 0.399)
C (0.841, 0.841, 0.554)
C (0.514, 0.514, 0.852)
C (0.348, 0.348, 0.656)
C (0.980, 0.980, 0.494)
B (0.872, 0.872, 0.065)
B (0.695, 0.695, 0.840)
B (0.999, 0.999, 0.964)
B (0.325, 0.325, 0.182)
B (0.641, 0.641, 0.356)
B (0.181, 0.181, 0.687)
B (0.129, 0.129, 0.200)

Properties
The energy is -7.3730 eV/atom. The calculated formation energy comes out at 0.37 eV/atom. The total magnetization comes out at 0.00 μB/cell. Its symmetry is Cm.

=====

Below is a relaxed B3C2 crystal, with properties calculated at the GGA-PBE level.

a = 2.818 Å, b = 2.745 Å, c = 9.057 Å
α = 90.00°, β = 90.00°, γ = 90.00°
Element x y z (fractional)
C (0.500, 0.000, 0.082)
C (0.000, 0.000, 0.792)
C (0.500, 0.500, 0.582)
C (0.000, 0.500, 0.292)
B (0.500, 0.500, 0.184)
B (0.500, 0.000, 0.684)
B (0.000, 0.500, 0.862)
B (0.000, 0.500, 0.498)
B (0.000, 0.000, 0.362)
B (0.000, 0.000, 0.998)

Properties
The energy is -7.3850 eV/atom. The calculated formation energy comes out at 0.31 eV/atom. The total magnetization comes out at 0.00 μB/cell. Its symmetry is Amm2.

=====

Below is a relaxed B7C5 crystal, with properties calculated at the GGA-PBE level.

a = 4.533 Å, b = 4.438 Å, c = 4.788 Å
α = 96.76°, β = 99.28°, γ = 120.89°
Element x y z (fractional)
B (0.066, 0.958, 0.966)
B (0.230, 0.519, 0.656)
B (0.545, 0.226, 0.944)
B (0.010, 0.591, 0.141)
B (0.145, 0.875, 0.466)
B (0.327, 0.427, 0.163)
B (0.813, 0.125, 0.178)
C (0.842, 0.177, 0.526)
C (0.866, 0.868, 0.626)
C (0.357, 0.762, 0.976)
C (0.514, 0.517, 0.507)
C (0.535, 0.204, 0.602)

Properties
The energy is -7.3386 eV/atom. The calculated formation energy comes out at 0.40 eV/atom. The total magnetization comes out at 0.00 μB/cell. Its symmetry is P1.

=====

Below is a relaxed B7C5 crystal, with properties calculated at the GGA-PBE level.

a = 4.616 Å, b = 4.616 Å, c = 5.750 Å
α = 104.15°, β = 104.15°, γ = 47.39°
Element x y z (fractional)
C (0.014, 0.993, 0.495)
C (0.673, 0.652, 0.838)
C (0.339, 0.328, 0.667)
C (0.245, 0.755, 0.269)
C (0.912, 0.421, 0.064)
B (0.976, 0.354, 0.633)
B (0.590, 0.743, 0.253)
B (0.924, 0.077, 0.080)
B (0.313, 0.690, 0.700)
B (0.322, 0.345, 0.167)
B (0.612, 0.088, 0.453)
B (0.579, 0.055, 0.881)

Properties
The energy is -7.3788 eV/atom. The calculated formation energy comes out at 0.36 eV/atom. The total magnetization comes out at 0.00 μB/cell. Its symmetry is C2.

=====

Below is a relaxed BC crystal, with properties calculated at the GGA-PBE level.

a = 4.333 Å, b = 4.333 Å, c = 8.626 Å
α = 120.34°, β = 120.34°, γ = 34.94°
Element x y z (fractional)
C (0.821, 0.821, 0.542)
C (0.983, 0.983, 0.514)
C (0.196, 0.196, 0.236)
C (0.170, 0.170, 0.708)
C (0.669, 0.669, 0.805)
C (0.823, 0.823, 0.024)
B (0.648, 0.648, 0.327)
B (0.447, 0.447, 0.377)
B (0.024, 0.024, 0.027)
B (0.562, 0.562, 0.908)
B (0.314, 0.314, 0.641)
B (0.343, 0.343, 0.140)

Properties
The energy is -7.5777 eV/atom. The calculated formation energy comes out at 0.37 eV/atom. The total magnetization comes out at 0.00 μB/cell. Its symmetry is Cm.

=====

Below is a relaxed BC crystal, with properties calculated at the GGA-PBE level.

a = 4.622 Å, b = 4.530 Å, c = 4.505 Å
α = 102.40°, β = 95.52°, γ = 116.89°
Element x y z (fractional)
C (0.816, 0.149, 0.495)
C (0.543, 0.193, 0.626)
C (0.991, 0.000, 0.987)
C (0.166, 0.848, 0.499)
C (0.717, 0.042, 0.138)
C (0.892, 0.893, 0.630)
B (0.168, 0.512, 0.556)
B (0.540, 0.530, 0.569)
B (0.307, 0.381, 0.174)
B (0.582, 0.263, 0.986)
B (0.126, 0.779, 0.139)
B (0.401, 0.660, 0.951)

Properties
The energy is -7.5441 eV/atom. The calculated formation energy comes out at 0.41 eV/atom. The total magnetization comes out at 0.00 μB/cell. Its symmetry is P-1.

=====

Below is a relaxed BC crystal, with properties calculated at the GGA-PBE level.

a = 4.729 Å, b = 4.729 Å, c = 4.565 Å
α = 98.11°, β = 98.11°, γ = 120.79°
Element x y z (fractional)
C (0.980, 0.980, 0.015)
C (0.051, 0.734, 0.151)
C (0.535, 0.221, 0.662)
C (0.734, 0.051, 0.151)
C (0.221, 0.535, 0.662)
C (0.872, 0.872, 0.649)
B (0.754, 0.348, 0.009)
B (0.168, 0.834, 0.522)
B (0.348, 0.754, 0.009)
B (0.534, 0.534, 0.591)
B (0.221, 0.221, 0.809)
B (0.834, 0.168, 0.522)

Properties
The energy is -7.6416 eV/atom. The calculated formation energy comes out at 0.31 eV/atom. The total magnetization comes out at 0.00 μB/cell. Its symmetry is Cm.

=====

Below is a relaxed B3C7 crystal, with properties calculated at the GGA-PBE level.

a = 4.598 Å, b = 4.598 Å, c = 6.452 Å
α = 62.76°, β = 62.76°, γ = 31.72°
Element x y z (fractional)
C (0.790, 0.790, 0.059)
C (0.193, 0.193, 0.197)
C (0.601, 0.601, 0.582)
C (0.408, 0.408, 0.667)
C (0.194, 0.194, 0.449)
C (0.008, 0.008, 0.254)
C (0.813, 0.813, 0.795)
B (0.981, 0.981, 0.024)
B (0.393, 0.393, 0.398)
B (0.620, 0.620, 0.826)

Properties
The energy is -8.1377 eV/atom. The calculated formation energy comes out at 0.32 eV/atom. The total magnetization comes out at 0.00 μB/cell. Its symmetry is Cm.

=====

Below is a relaxed B3C crystal, with properties calculated at the GGA-PBE level.

a = 2.729 Å, b = 4.712 Å, c = 7.245 Å
α = 89.07°, β = 90.00°, γ = 90.00°
Element x y z (fractional)
B (0.500, 0.548, 0.247)
B (0.500, 0.887, 0.121)
B (0.500, 0.586, 0.482)
B (0.000, 0.765, 0.734)
B (0.000, 0.394, 0.366)
B (0.000, 0.042, 0.342)
B (0.500, 0.265, 0.747)
B (0.000, 0.078, 0.999)
B (0.000, 0.364, 0.145)
C (0.500, 0.878, 0.341)
C (0.000, 0.094, 0.776)
C (0.500, 0.598, 0.701)

Properties
The energy is -7.0735 eV/atom. The calculated formation energy comes out at 0.24 eV/atom. The total magnetization comes out at 0.00 μB/cell. Its symmetry is Pm.

=====

Below is a relaxed BC crystal, with properties calculated at the GGA-PBE level.

a = 5.845 Å, b = 5.845 Å, c = 5.427 Å
α = 100.80°, β = 100.80°, γ = 25.77°
Element x y z (fractional)
B (0.904, 0.904, 0.270)
B (0.277, 0.277, 0.348)
B (0.996, 0.996, 0.997)
B (0.341, 0.341, 0.089)
B (0.658, 0.658, 0.327)
B (0.342, 0.342, 0.707)
C (0.002, 0.002, 0.521)
C (0.584, 0.584, 0.041)
C (0.921, 0.921, 0.713)
C (0.236, 0.236, 0.857)
C (0.582, 0.582, 0.552)
C (0.659, 0.659, 0.828)

Properties
The energy is -7.5157 eV/atom. The calculated formation energy comes out at 0.43 eV/atom. The total magnetization comes out at 0.00 μB/cell. Its symmetry is Cm.

=====

Below is a relaxed BC crystal, with properties calculated at the GGA-PBE level.

a = 11.627 Å, b = 11.627 Å, c = 11.627 Å
α = 12.82°, β = 12.82°, γ = 12.82°
Element x y z (fractional)
B (0.547, 0.547, 0.547)
B (0.596, 0.596, 0.596)
B (0.400, 0.400, 0.400)
B (0.959, 0.959, 0.959)
B (0.797, 0.797, 0.797)
C (0.192, 0.192, 0.192)
C (0.005, 0.005, 0.005)
C (0.751, 0.751, 0.751)
C (0.351, 0.351, 0.351)
C (0.151, 0.151, 0.151)

Properties
The energy is -7.5107 eV/atom. The calculated formation energy comes out at 0.44 eV/atom. The total magnetization comes out at 0.00 μB/cell. Its symmetry is R3m.

=====

| no. | polymorph energy (0 for the lowest one) (meV per atom) | density (kg/m³) |
| --- | --- | --- |
| 1 | 260 | 2838 |
| 2 | 188 | 2250 |
| 3 | 262 | 2757 |
| 4 | 268 | 2789 |
| 5 | 65 | 2223 |
| 6 | 297 | 2772 |
| 7 | 235 | 2922 |
| 8 | 0 | 3081 |
| 9 | 256 | 2833 |
| 10 | 201 | 2833 |
| 11 | 100 | 2676 |
| 12 | 235 | 2843 |
| 13 | 195 | 2593 |
| 14 | 222 | 2890 |
| 15 | 256 | 2838 |
| 16 | 158 | 2706 |
| 17 | 60 | 3067 |
| 18 | 0 | 2377 |
| 19 | 284 | 2875 |
| 20 | 289 | 2814 |